(1)
First-principles (GGA-PBE) data for a relaxed structure of Cs3Ho3PuTe8, as listed in Alexandria.

Calculated values
symmetry	R-3m (166)
uncorrected energy	-4.98	eV/atom
crystal system	trigonal

```
Cs3Ho3PuTe8
1.0
4.4729 2.5824 9.1008
-4.4729 2.5824 9.1008
0.0000 -5.1648 9.1008
Cs Ho Pu Te
3 3 1 8
direct
0.0000 0.5000 0.5000
0.5000 0.0000 0.5000
0.5000 0.5000 0.0000
0.0000 0.0000 0.5000
0.0000 0.5000 0.0000
0.5000 0.0000 0.0000
0.5000 0.5000 0.5000
0.2279 0.7296 0.7296
0.2296 0.2296 0.2296
0.2704 0.2704 0.7721
0.2704 0.7721 0.2704
0.7296 0.2279 0.7296
0.7296 0.7296 0.2279
0.7704 0.7704 0.7704
0.7721 0.2704 0.2704
```

(2)
First-principles (GGA-PBE) data for a relaxed structure of TcPd3O, as listed in Alexandria.

Calculated values
polymorph energy (0 for the lowest one)	1210.8	meV/atom
symmetry	Pm-3m (221)
uncorrected energy	-4.52	eV/atom
crystal system	cubic

```
TcPd3O
1.0
4.7414 0.0000 0.0000
0.0000 4.7414 0.0000
0.0000 0.0000 4.7414
Tc Pd O
1 3 1
direct
0.0000 0.0000 0.0000
0.0000 0.0000 0.5000
0.0000 0.5000 0.0000
0.5000 0.0000 0.0000
0.5000 0.5000 0.5000
```

Q: uncorrected energy of number 1 (Cs3Ho3PuTe8)?
A: -4.98 eV/atom